Compound: ZrOs4Pb
Source: Alexandria
Functional: GGA-PBE
Structure: optimized geometry

Summary:
The calculation puts the energy relative to the elements at 0.314 eV/atom. As for the density of states at the Fermi level: 1.1529 states/eV/atom.

Cell: 5.2982 5.2982 5.2982 Å, 60.00 60.00 60.00°
Last column: nearest neighbours and their distance in Å.
Sites, in units of the cell vectors:
Zr 0.0000 0.0000 0.0000  12 Os 3.11, 4 Pb 3.24
Os 0.1251 0.6250 0.6250  6 Os 2.65
Os 0.6250 0.1251 0.6250  6 Os 2.65
Os 0.6250 0.6250 0.1251  6 Os 2.65
Os 0.6250 0.6250 0.6250  6 Os 2.65
Pb 0.2500 0.2500 0.2500  12 Os 3.11, 4 Zr 3.24